[1]
# TaIn2Si (PBE-GGA, relaxed)
# energy relative to the elements, uncorrected: 21.82 kJ/mol of atoms
# magnetic moment: 0.000 μB per atom
data_TaIn2Si
_chemical_formula_sum 'Ta3 In6 Si3'
_cell_length_a 3.0440
_cell_length_b 3.0440
_cell_length_c 31.6716
_cell_angle_alpha 90.00
_cell_angle_beta 90.00
_cell_angle_gamma 120.00
_space_group_name_H-M_alt 'R 3 m'
_space_group_IT_number 160
_space_group_name_Hall 'R 3 -2"'
loop_
_atom_site_label
_atom_site_type_symbol
_atom_site_fract_x
_atom_site_fract_y
_atom_site_fract_z
Ta1 Ta 0.0000 0.0000 0.0000
In1 In 0.0000 0.0000 0.5215
In2 In 0.0000 0.0000 0.7480
Si1 Si 0.0000 0.0000 0.2692

=====

[2]
# TaInSi2 (PBE-GGA, relaxed)
# energy relative to the elements, uncorrected: 29.50 kJ/mol of atoms
# magnetic moment: 0.000 μB per atom
data_TaInSi2
_chemical_formula_sum 'Ta3 In3 Si6'
_cell_length_a 3.1107
_cell_length_b 3.1107
_cell_length_c 25.5004
_cell_angle_alpha 90.00
_cell_angle_beta 90.00
_cell_angle_gamma 120.00
_space_group_name_H-M_alt 'R 3 m'
_space_group_IT_number 160
_space_group_name_Hall 'R 3 -2"'
loop_
_atom_site_label
_atom_site_type_symbol
_atom_site_fract_x
_atom_site_fract_y
_atom_site_fract_z
Ta1 Ta 0.0000 0.0000 0.0000
In1 In 0.0000 0.0000 0.7616
Si1 Si 0.0000 0.0000 0.2543
Si2 Si 0.0000 0.0000 0.5192

=====

[3]
# TaIn3Si (PBE-GGA, relaxed)
# energy above the lowest structure with this stoichiometry: 138.8 meV/atom
# energy relative to the elements, uncorrected: 118.79 kJ/mol of atoms
# magnetic moment: 0.456 μB per atom
data_TaIn3Si
_chemical_formula_sum 'Ta1 In3 Si1'
_cell_length_a 5.0832
_cell_length_b 5.0832
_cell_length_c 5.0832
_cell_angle_alpha 90.00
_cell_angle_beta 90.00
_cell_angle_gamma 90.00
_space_group_name_H-M_alt 'P m -3 m'
_space_group_IT_number 221
_space_group_name_Hall '-P 4 2 3'
loop_
_atom_site_label
_atom_site_type_symbol
_atom_site_fract_x
_atom_site_fract_y
_atom_site_fract_z
Ta1 Ta 0.0000 0.0000 0.0000
In1 In 0.0000 0.5000 0.5000
Si1 Si 0.5000 0.5000 0.5000

=====

[4]
# TaIn2Si (PBE-GGA, relaxed)
# energy relative to the elements, uncorrected: 45.46 kJ/mol of atoms
# magnetic moment: 0.000 μB per atom
data_TaIn2Si
_chemical_formula_sum 'Ta1 In2 Si1'
_cell_length_a 5.1538
_cell_length_b 5.1538
_cell_length_c 3.0441
_cell_angle_alpha 90.00
_cell_angle_beta 90.00
_cell_angle_gamma 90.00
_space_group_name_H-M_alt 'P 4/m m m'
_space_group_IT_number 123
_space_group_name_Hall '-P 4 2'
loop_
_atom_site_label
_atom_site_type_symbol
_atom_site_fract_x
_atom_site_fract_y
_atom_site_fract_z
Ta1 Ta 0.0000 0.0000 0.0000
In1 In 0.0000 0.5000 0.5000
Si1 Si 0.5000 0.5000 0.0000

=====

[5]
# TaInSi3 (PBE-GGA, relaxed)
# energy above the lowest structure with this stoichiometry: 0.0 meV/atom
# energy relative to the elements, uncorrected: 50.44 kJ/mol of atoms
# magnetic moment: 0.000 μB per atom
data_TaInSi3
_chemical_formula_sum 'Ta1 In1 Si3'
_cell_length_a 4.9463
_cell_length_b 4.9463
_cell_length_c 4.9463
_cell_angle_alpha 90.00
_cell_angle_beta 90.00
_cell_angle_gamma 90.00
_space_group_name_H-M_alt 'P m -3 m'
_space_group_IT_number 221
_space_group_name_Hall '-P 4 2 3'
loop_
_atom_site_label
_atom_site_type_symbol
_atom_site_fract_x
_atom_site_fract_y
_atom_site_fract_z
Ta1 Ta 0.0000 0.0000 0.0000
In1 In 0.5000 0.5000 0.5000
Si1 Si 0.0000 0.0000 0.5000

=====

[6]
# TaIn2Si (PBE-GGA, relaxed)
# energy relative to the elements, uncorrected: 27.28 kJ/mol of atoms
# magnetic moment: 0.000 μB per atom
data_TaIn2Si
_chemical_formula_sum 'Ta2 In4 Si2'
_cell_length_a 10.0679
_cell_length_b 3.0018
_cell_length_c 5.3131
_cell_angle_alpha 90.00
_cell_angle_beta 97.23
_cell_angle_gamma 90.00
_space_group_name_H-M_alt 'C 1 m 1'
_space_group_IT_number 8
loop_
_space_group_symop_operation_xyz
'x,y,z'
'x,-y,z'
'x+1/2,y+1/2,z'
'x+1/2,-y+1/2,z'
loop_
_atom_site_label
_atom_site_type_symbol
_atom_site_fract_x
_atom_site_fract_y
_atom_site_fract_z
Ta1 Ta 0.0000 0.0000 0.0000
In1 In 0.2564 0.0000 0.7266
In2 In 0.4978 0.0000 0.4832
Si1 Si 0.2281 0.5000 0.1707

=====

Computed VASP energy, in the same sequence as the records: -65.5; -72.6; -19.3; -20.9; -28.2; -43.2 eV for the cell shown.